Entry 1:
# Ac2CdBr8 (PBE, relaxed)
# calculated density: 4753 kg/m³
# total magnetization: 0.00 μB per cell
# E_tot: -82.600 eV for the cell shown
# ΔE_f (raw): -18.78 eV per formula unit
data_Ac2CdBr8
_chemical_formula_sum 'Ac4 Cd2 Br16'
_space_group_name_H-M_alt 'C 1 2/m 1'
_space_group_IT_number 12
_space_group_name_Hall '-C 2y'
_cell_length_a 23.2864
_cell_length_b 4.3616
_cell_length_c 8.4400
_cell_angle_alpha 90.00
_cell_angle_beta 100.65
_cell_angle_gamma 90.00
loop_
_atom_site_label
_atom_site_type_symbol
_atom_site_fract_x
_atom_site_fract_y
_atom_site_fract_z
_atom_site_occupancy
Ac1 Ac 0.1549 0.0000 0.3295 1
Cd1 Cd 0.0000 0.5000 0.0000 1
Br1 Br 0.0136 0.0000 0.2237 1
Br2 Br 0.1118 0.5000 0.5280 1
Br3 Br 0.1226 0.5000 0.0455 1
Br4 Br 0.2453 0.0000 0.6782 1

Entry 2:
# LaTl2MoAu (PBE, relaxed)
# formation enthalpy at 0 K: 0.304 eV/atom
# calculated density: 9764 kg/m³
# total magnetization: 0.00 μB per cell
# E_tot: -22.246 eV for the cell shown
data_LaTl2MoAu
_chemical_formula_sum 'La1 Tl2 Mo1 Au1'
_space_group_name_H-M_alt 'P 4/m m m'
_space_group_IT_number 123
_space_group_name_Hall '-P 4 2'
_cell_length_a 5.2535
_cell_length_b 5.2535
_cell_length_c 5.1797
_cell_angle_alpha 90.00
_cell_angle_beta 90.00
_cell_angle_gamma 90.00
loop_
_atom_site_label
_atom_site_type_symbol
_atom_site_fract_x
_atom_site_fract_y
_atom_site_fract_z
_atom_site_occupancy
La1 La 0.0000 0.0000 0.0000 1
Tl1 Tl 0.0000 0.5000 0.5000 1
Mo1 Mo 0.5000 0.5000 0.5000 1
Au1 Au 0.5000 0.5000 0.0000 1

Entry 3:
# Ta3Cl (PBE, relaxed)
# calculated density: 13639 kg/m³
# total magnetization: 0.00 μB per cell
# E_tot: -71.031 eV for the cell shown
# ΔE_f (raw): 1.89 eV per formula unit
# distance to the lowest polymorph of the same formula: 384 meV per atom
data_Ta3Cl
_chemical_formula_sum 'Ta6 Cl2'
_space_group_name_H-M_alt 'I m m m'
_space_group_IT_number 71
_space_group_name_Hall '-I 2 2'
_cell_length_a 2.8811
_cell_length_b 5.0021
_cell_length_c 9.7706
_cell_angle_alpha 90.00
_cell_angle_beta 90.00
_cell_angle_gamma 90.00
loop_
_atom_site_label
_atom_site_type_symbol
_atom_site_fract_x
_atom_site_fract_y
_atom_site_fract_z
_atom_site_occupancy
Ta1 Ta 0.0000 0.0000 0.0000 1
Ta2 Ta 0.0000 0.5000 0.2225 1
Cl1 Cl 0.0000 0.0000 0.5000 1

Entry 4:
# SnSb5Pd3 (PBE, relaxed)
# calculated density: 7357 kg/m³
# total magnetization: 0.00 μB per cell
# E_tot: -165.594 eV for the cell shown
# ΔE_f (raw): -1.21 eV per formula unit
data_SnSb5Pd3
_chemical_formula_sum 'Sn4 Sb20 Pd12'
_space_group_name_H-M_alt 'C 1 2/m 1'
_space_group_IT_number 12
_space_group_name_Hall '-C 2y'
_cell_length_a 12.1230
_cell_length_b 8.6313
_cell_length_c 9.6704
_cell_angle_alpha 90.00
_cell_angle_beta 110.94
_cell_angle_gamma 90.00
loop_
_atom_site_label
_atom_site_type_symbol
_atom_site_fract_x
_atom_site_fract_y
_atom_site_fract_z
_atom_site_occupancy
Sn1 Sn 0.0972 0.0000 0.2938 1
Sb1 Sb 0.0000 0.3062 0.0000 1
Sb2 Sb 0.0589 0.5000 0.3701 1
Sb3 Sb 0.1860 0.2083 0.6095 1
Sb4 Sb 0.2341 0.0000 0.0244 1
Pd1 Pd 0.0000 0.0000 0.0000 1
Pd2 Pd 0.0000 0.0000 0.5000 1
Pd3 Pd 0.1702 0.5000 0.6818 1
Pd4 Pd 0.1725 0.5000 0.1861 1

Entry 5:
# Ac5AgRh2 (PBE, relaxed)
# formation enthalpy at 0 K: -0.449 eV/atom
# calculated density: 9303 kg/m³
# total magnetization: 0.00 μB per cell
# E_tot: -166.750 eV for the cell shown
data_Ac5AgRh2
_chemical_formula_sum 'Ac20 Ag4 Rh8'
_space_group_name_H-M_alt 'I 4/m c m'
_space_group_IT_number 140
_space_group_name_Hall '-I 4 2c'
_cell_length_a 8.3588
_cell_length_b 8.3588
_cell_length_c 14.8044
_cell_angle_alpha 90.00
_cell_angle_beta 90.00
_cell_angle_gamma 90.00
loop_
_atom_site_label
_atom_site_type_symbol
_atom_site_fract_x
_atom_site_fract_y
_atom_site_fract_z
_atom_site_occupancy
Ac1 Ac 0.0000 0.0000 0.0000 1
Ac2 Ac 0.1613 0.3387 0.1335 1
Ag1 Ag 0.0000 0.0000 0.2500 1
Rh1 Rh 0.1404 0.3596 0.5000 1

Entry 6:
# YCdReRu2 (PBE, relaxed)
# formation enthalpy at 0 K: 0.789 eV/atom
# calculated density: 8655 kg/m³
# total magnetization: 0.00 μB per cell
# E_tot: -34.432 eV for the cell shown
data_YCdReRu2
_chemical_formula_sum 'Y1 Cd1 Re1 Ru2'
_space_group_name_H-M_alt 'P 4/m m m'
_space_group_IT_number 123
_space_group_name_Hall '-P 4 2'
_cell_length_a 4.7065
_cell_length_b 4.7065
_cell_length_c 5.1074
_cell_angle_alpha 90.00
_cell_angle_beta 90.00
_cell_angle_gamma 90.00
loop_
_atom_site_label
_atom_site_type_symbol
_atom_site_fract_x
_atom_site_fract_y
_atom_site_fract_z
_atom_site_occupancy
Y1 Y 0.0000 0.0000 0.0000 1
Cd1 Cd 0.5000 0.5000 0.0000 1
Re1 Re 0.5000 0.5000 0.5000 1
Ru1 Ru 0.0000 0.5000 0.5000 1